1.
Material: Ir2PtSe
Method: DFT, GGA-PBE
State: optimized geometry

The structure in POSCAR format:
```
Ir2PtSe
1.0
-2.869 3.503 1.924
-4.017 2.774 -0.613
-3.403 -2.555 2.275
Ir Pt Se
2 1 1
Cartesian
-6.853 6.216 1.314
-7.737 2.664 2.735
-5.202 1.825 1.829
-2.528 1.155 0.812
```

Calculated values
- D(E_F) (states/eV per cell) = 4.69
- uncorrected formation energy (kJ/mol of atoms) = 37.5
- magnetization (μB per cell) = 0.00

---

2.
Material: IrPt2Se
Method: DFT, GGA-PBE
State: optimized geometry

The structure in POSCAR format:
```
IrPt2Se
1.0
4.084 0.000 0.000
0.000 3.966 0.000
0.000 0.000 3.966
Se Pt Ir
1 2 1
Cartesian
2.042 1.983 0.000
0.000 1.983 1.983
0.000 0.000 0.000
2.042 0.000 1.983
```

Calculated values
- D(E_F) (states/eV per cell) = 5.75
- uncorrected formation energy (kJ/mol of atoms) = 44.3
- magnetization (μB per cell) = 0.00

---

3.
Material: IrPtSe
Method: DFT, GGA-PBE
State: optimized geometry

The structure in POSCAR format:
```
IrPtSe
1.0
3.876 0.000 0.000
-1.938 3.356 0.000
0.000 0.000 3.957
Ir Se Pt
1 1 1
Cartesian
0.000 0.000 3.771
1.938 1.119 2.782
0.000 2.238 1.361
```

Calculated values
- D(E_F) (states/eV per cell) = 1.82
- uncorrected formation energy (kJ/mol of atoms) = 21.7
- magnetization (μB per cell) = 0.00
- ΔE to the lowest computed polymorph (eV per atom) = 0.000

---

4.
Material: IrPt2Se
Method: DFT, GGA-PBE
State: optimized geometry

The structure in POSCAR format:
```
IrPt2Se
1.0
2.777 0.000 0.000
0.000 5.299 -0.622
0.000 3.275 4.210
Se Pt Ir
1 2 1
Cartesian
1.388 2.143 0.897
0.000 4.352 1.822
0.000 8.508 3.561
1.388 6.430 2.692
```

Calculated values
- D(E_F) (states/eV per cell) = 3.28
- uncorrected formation energy (kJ/mol of atoms) = 17.2
- magnetization (μB per cell) = 0.00

---

In the order shown, the computed energy values come out to -25.69; -22.59; -17.71; -23.72 eV for the cell shown.